Pm3ScTl4 | PBE | optimized geometry

a = 3.5930 Å, b = 7.0581 Å, c = 10.2603 Å
α = 110.12°, β = 100.08°, γ = 90.00°
Last column: nearest neighbours and their distance in Å.
Element x y z (fractional)
Pm: 0.7743 0.7740 0.5485  6 Tl 3.27-3.30, 2 Pm 3.59
Pm: 0.2257 0.2260 0.4515  6 Tl 3.27-3.30, 2 Pm 3.59
Pm: 0.0000 0.5000 0.0000  8 Tl 3.35, 2 Pm 3.59
Tl: 0.3777 0.1473 0.7554  1 Sc 3.00, 1 Tl 3.25, 5 Pm 3.27-3.35
Tl: 0.6222 0.3919 0.2445  1 Sc 3.00, 1 Tl 3.25, 5 Pm 3.27-3.35
Tl: 0.6223 0.8527 0.2446  1 Sc 3.00, 1 Tl 3.25, 5 Pm 3.27-3.35
Tl: 0.3778 0.6081 0.7555  1 Sc 3.00, 1 Tl 3.25, 5 Pm 3.27-3.35
Sc: 0.5000 0.0000 0.0000  4 Tl 3.00

VASP energy	-3.98	eV per atom
excess energy over the best structure of this formula in the dataset	0.1391	eV per atom
crystal system	orthorhombic
calculated volume	240.03	Å³/cell

***

PuGaSn | PBE | optimized geometry

a = 4.4303 Å, b = 4.4303 Å, c = 8.1343 Å
α = 105.80°, β = 105.80°, γ = 90.00°
Last column: nearest neighbours and their distance in Å.
Element x y z (fractional)
Sn: 0.6429 0.6429 0.2858  4 Ga 3.08, 5 Pu 3.13-3.17
Sn: 0.3571 0.3571 0.7142  4 Ga 3.08, 5 Pu 3.13-3.17
Pu: 0.8539 0.8539 0.7078  4 Ga 3.12, 5 Sn 3.13-3.17
Pu: 0.1461 0.1461 0.2922  4 Ga 3.12, 5 Sn 3.13-3.17
Ga: 0.5000 0.0000 0.0000  4 Sn 3.08, 4 Pu 3.12, 4 Ga 3.13
Ga: 0.0000 0.5000 0.0000  4 Sn 3.08, 4 Pu 3.12, 4 Ga 3.13

VASP energy	-7.39	eV per atom
excess energy over the best structure of this formula in the dataset	0.0401	eV per atom
crystal system	tetragonal
calculated volume	147.34	Å³/cell

***

K2CaSc | PBE | optimized geometry

a = 6.5838 Å, b = 6.5838 Å, c = 7.8889 Å
α = 85.62°, β = 85.62°, γ = 32.07°
Last column: nearest neighbours and their distance in Å.
Element x y z (fractional)
K: 0.7551 0.7551 0.7415  3 K 3.64-3.84, 2 Ca 3.99, 1 Sc 4.00
K: 0.9982 0.9982 0.0033  3 K 3.64-3.84, 1 Ca 3.99, 2 Sc 4.05
Sc: 0.5049 0.5049 0.4615  2 Sc 3.64, 3 Ca 3.66-3.68, 3 K 4.00-4.05
Ca: 0.2418 0.2418 0.2937  2 Ca 3.64, 3 Sc 3.66-3.68, 3 K 3.99

VASP energy	-2.15	eV per atom
excess energy over the best structure of this formula in the dataset	0.1426	eV per atom
crystal system	monoclinic
calculated volume	180.97	Å³/cell

***

| no. | formation energy (meV per atom) |
| --- | --- |
| 1 | -222 |
| 2 | -267 |
| 3 | 479 |